Record 1
# LaMnBi2 GGA-PBE relaxed
# Magnetization = 0.00 μB/cell
# Space-group type = No. 225
# Formation enthalpy at 0 K = 0.24 eV per atom
# Density of states at the Fermi level = 1.95 states/eV per cell
data_LaMnBi2
_space_group_name_H-M_alt 'P 1'
_space_group_IT_number 1
_space_group_name_Hall 'P 1'
_cell_length_a 5.2341
_cell_length_b 5.2341
_cell_length_c 5.2341
_cell_angle_alpha 60.00
_cell_angle_beta 60.00
_cell_angle_gamma 60.00
loop_
_atom_site_label
_atom_site_fract_x
_atom_site_fract_y
_atom_site_fract_z
La1 0.0000 0.0000 0.0000
Mn1 0.5000 0.5000 0.5000
Bi1 0.2500 0.2500 0.2500
Bi2 0.7500 0.7500 0.7500

=====

Record 2
# K2BaNa6 GGA-PBE relaxed
# Magnetization = 0.00 μB/cell
# Space-group type = No. 71
# Formation enthalpy at 0 K = 0.03 eV per atom
# Density of states at the Fermi level = 5.96 states/eV per cell
data_K2BaNa6
_space_group_name_H-M_alt 'P 1'
_space_group_IT_number 1
_space_group_name_Hall 'P 1'
_cell_length_a 11.2061
_cell_length_b 11.2061
_cell_length_c 11.2061
_cell_angle_alpha 158.58
_cell_angle_beta 121.70
_cell_angle_gamma 62.84
loop_
_atom_site_label
_atom_site_fract_x
_atom_site_fract_y
_atom_site_fract_z
K1 0.1501 0.1501 0.0000
K2 0.8499 0.8499 0.0000
Ba1 0.5000 0.0000 0.5000
Na1 0.1662 0.3331 0.8331
Na2 0.1804 0.5000 0.6804
Na3 0.5000 0.3331 0.1669
Na4 0.5000 0.6669 0.8331
Na5 0.8196 0.5000 0.3196
Na6 0.8338 0.6669 0.1669

=====

Record 3
# Sc2InTcH GGA-PBE relaxed
# Magnetization = 0.26 μB/cell
# Raw total energy = -6.1958 eV/atom
# Space-group type = No. 123
# Density of states at the Fermi level = 3.46 states/eV per cell
data_Sc2InTcH
_space_group_name_H-M_alt 'P 1'
_space_group_IT_number 1
_space_group_name_Hall 'P 1'
_cell_length_a 4.6501
_cell_length_b 4.6501
_cell_length_c 3.6899
_cell_angle_alpha 90.00
_cell_angle_beta 90.00
_cell_angle_gamma 90.00
loop_
_atom_site_label
_atom_site_fract_x
_atom_site_fract_y
_atom_site_fract_z
Sc1 0.0000 0.5000 0.0000
Sc2 0.5000 0.0000 0.0000
In1 0.0000 0.0000 0.5000
Tc1 0.5000 0.5000 0.5000
H1 0.5000 0.5000 0.0000

=====

Record 4
# MnInSb2I GGA-PBE relaxed
# Relative energy among the computed polymorphs = 0.0 meV/atom
# Magnetization = 2.70 μB/cell
# ΔE_f (raw) = 1.147 eV/f.u.
# Space-group type = No. 123
# Density of states at the Fermi level = 2.09 states/eV per cell
data_MnInSb2I
_space_group_name_H-M_alt 'P 1'
_space_group_IT_number 1
_space_group_name_Hall 'P 1'
_cell_length_a 5.0501
_cell_length_b 5.0501
_cell_length_c 6.3748
_cell_angle_alpha 90.00
_cell_angle_beta 90.00
_cell_angle_gamma 90.00
loop_
_atom_site_label
_atom_site_fract_x
_atom_site_fract_y
_atom_site_fract_z
Mn1 0.0000 0.0000 0.0000
In1 0.5000 0.5000 0.5000
Sb1 0.0000 0.5000 0.0000
Sb2 0.5000 0.0000 0.0000
I1 0.0000 0.0000 0.5000

=====

magnetization of number 2 (K2BaNa6)? 0.00 μB/cell

=====

Please write out number 4 again, unchanged.
# MnInSb2I GGA-PBE relaxed
# Relative energy among the computed polymorphs = 0.0 meV/atom
# Magnetization = 2.70 μB/cell
# ΔE_f (raw) = 1.147 eV/f.u.
# Space-group type = No. 123
# Density of states at the Fermi level = 2.09 states/eV per cell
data_MnInSb2I
_space_group_name_H-M_alt 'P 1'
_space_group_IT_number 1
_space_group_name_Hall 'P 1'
_cell_length_a 5.0501
_cell_length_b 5.0501
_cell_length_c 6.3748
_cell_angle_alpha 90.00
_cell_angle_beta 90.00
_cell_angle_gamma 90.00
loop_
_atom_site_label
_atom_site_fract_x
_atom_site_fract_y
_atom_site_fract_z
Mn1 0.0000 0.0000 0.0000
In1 0.5000 0.5000 0.5000
Sb1 0.0000 0.5000 0.0000
Sb2 0.5000 0.0000 0.0000
I1 0.0000 0.0000 0.5000